(1)
Density functional theory data (GGA-PBE) for HfCrPt3 after structural relaxation.

a = 4.5783 Å, b = 4.5783 Å, c = 4.5783 Å
α = 90.00°, β = 90.00°, γ = 90.00°
Space group Pm-3m (No. 221)
Inequivalent atoms, fractional coordinates:
Hf 0.0000 0.0000 0.0000
Cr 0.5000 0.5000 0.5000
Pt 0.0000 0.5000 0.5000

The calculation puts the offset from the most stable computed form at 0.0 meV per atom. As for the density of states at the Fermi level: 6.49 states/eV per cell. The formation energy is 0.458 eV/atom.



(2)
Density functional theory data (GGA-PBE) for Hf3Tc2Mo after structural relaxation.

a = 3.2771 Å, b = 3.2771 Å, c = 9.8789 Å
α = 90.00°, β = 90.00°, γ = 90.00°
Space group P4/mmm (No. 123)
Inequivalent atoms, fractional coordinates:
Hf 0.0000 0.0000 0.0000
Hf 0.0000 0.0000 0.3270
Tc 0.5000 0.5000 0.1660
Mo 0.5000 0.5000 0.5000

As for the density of states at the Fermi level: 8.46 states/eV per cell. The formation energy is -0.321 eV/atom.



(3)
Density functional theory data (GGA-PBE) for Li2ScAu after structural relaxation.

a = 7.5919 Å, b = 7.5919 Å, c = 5.4972 Å
α = 90.00°, β = 90.00°, γ = 90.00°
Space group I-42d (No. 122)
Inequivalent atoms, fractional coordinates:
Li 0.2030 0.7500 0.1250
Sc 0.0000 0.0000 0.5000
Au 0.0000 0.0000 0.0000

The calculation puts the offset from the most stable computed form at 263.9 meV per atom. As for the density of states at the Fermi level: 12.84 states/eV per cell. The formation energy is -0.098 eV/atom.



(4)
Density functional theory data (GGA-PBE) for La3NdSm2S6 after structural relaxation.

a = 7.0792 Å, b = 12.2848 Å, c = 7.0904 Å
α = 90.00°, β = 109.52°, γ = 90.00°
Space group C2/m (No. 12)
Inequivalent atoms, fractional coordinates:
La 0.0000 0.0000 0.0000
La 0.0000 0.3345 0.0000
Nd 0.0000 0.5000 0.5000
Sm 0.0000 0.1666 0.5000
S 0.2436 0.0000 0.7406
S 0.2487 0.3318 0.7416

For the energy relative to the elements, uncorrected, the calculation gives -2.10 eV per atom. As for the density of states at the Fermi level: 11.77 states/eV per cell.



(5)
Density functional theory data (GGA-PBE) for MgNiPt2 after structural relaxation.

a = 3.8641 Å, b = 3.8641 Å, c = 7.8859 Å
α = 90.00°, β = 90.00°, γ = 90.00°
Space group I-4m2 (No. 119)
Inequivalent atoms, fractional coordinates:
Mg 0.0000 0.0000 0.0000
Ni 0.0000 0.5000 0.7500
Pt 0.0000 0.0000 0.5000
Pt 0.0000 0.5000 0.2500

As for the density of states at the Fermi level: 9.99 states/eV per cell. The formation energy is -0.406 eV/atom.



(6)
Density functional theory data (GGA-PBE) for Li2La2Pd15 after structural relaxation.

a = 9.1798 Å, b = 9.1798 Å, c = 13.7274 Å
α = 90.00°, β = 90.00°, γ = 120.00°
Space group R-3m (No. 166, hexagonal axes)
Inequivalent atoms, fractional coordinates:
Li 0.0000 0.0000 0.0936
La 0.0000 0.0000 0.3427
Pd 0.0000 0.3103 0.0000
Pd 0.0000 0.5000 0.5000
Pd 0.0011 0.5006 0.1577

As for the density of states at the Fermi level: 52.49 states/eV per cell. The formation energy is -0.447 eV/atom.



(7)
Density functional theory data (GGA-PBE) for YAs2SeI after structural relaxation.

a = 5.6228 Å, b = 5.6228 Å, c = 5.3016 Å
α = 90.00°, β = 90.00°, γ = 90.00°
Space group P4/mmm (No. 123)
Inequivalent atoms, fractional coordinates:
Y 0.0000 0.0000 0.0000
As 0.0000 0.5000 0.0000
Se 0.0000 0.0000 0.5000
I 0.5000 0.5000 0.5000

For the energy relative to the elements, uncorrected, the calculation gives 0.19 eV per atom. The calculation puts the offset from the most stable computed form at 0.0 meV per atom. As for the density of states at the Fermi level: 6.17 states/eV per cell.



(8)
Density functional theory data (GGA-PBE) for AcCd2Rh after structural relaxation.

a = 4.3466 Å, b = 8.6440 Å, c = 5.6315 Å
α = 90.00°, β = 112.70°, γ = 90.00°
Space group P2_1/m (No. 11)
Inequivalent atoms, fractional coordinates:
Ac 0.0651 0.2500 0.1284
Cd 0.3508 0.0492 0.7022
Rh 0.2183 0.7500 0.4369

The calculation puts the offset from the most stable computed form at 0.0 meV per atom. As for the density of states at the Fermi level: 3.93 states/eV per cell. The formation energy is -0.462 eV/atom.



What did the sixth record say?
Density functional theory data (GGA-PBE) for Li2La2Pd15 after structural relaxation.

a = 9.1798 Å, b = 9.1798 Å, c = 13.7274 Å
α = 90.00°, β = 90.00°, γ = 120.00°
Space group R-3m (No. 166, hexagonal axes)
Inequivalent atoms, fractional coordinates:
Li 0.0000 0.0000 0.0936
La 0.0000 0.0000 0.3427
Pd 0.0000 0.3103 0.0000
Pd 0.0000 0.5000 0.5000
Pd 0.0011 0.5006 0.1577

As for the density of states at the Fermi level: 52.49 states/eV per cell. The formation energy is -0.447 eV/atom.